A plane-wave DFT calculation with GGA+U was carried out for Hf2CoF2 after structural relaxation.

extended XYZ file:
```
5
Lattice="4.5866 0.0000 0.0000 0.0000 4.5866 0.0000 2.2933 2.2933 3.3614" Properties=species:S:1:pos:R:3 pbc="T T T"
Co 0.0000 0.0000 0.0000
Hf 4.5866 2.2933 1.6807
Hf 2.2933 4.5866 1.6807
F 2.2933 2.2933 1.1971
F 4.5866 4.5866 2.1643
```

## Properties
- mass density (g/cm3) = 10.7
- calculated volume (Å³/atom) = 14.14
- symmetry = I4/mmm (139)
- E_tot (eV per atom) = -6.766